[1]
NaTiSnP3O12: optimized geometry, PBEsol.

Calculated values
Uncorrected formation energy   -224.7 kJ/mol of atoms

Cell: 8.6187 8.6187 22.0850 Å, 90.00 90.00 120.00°
Last column: nearest neighbours and their distance in Å.
Space group R3c (No. 161, hexagonal axes)
Symmetry-distinct sites (fractional):
Na 0.0000 0.0000 0.0000  6 O 2.44-2.48
Ti 0.0000 0.0000 0.1438  6 O 1.93-1.98
Sn 0.0000 0.0000 0.3533  6 O 2.00-2.04
P 0.0033 0.2921 0.2487  4 O 1.53-1.54
O 0.0135 0.1872 0.9126  1 P 1.54
O 0.0179 0.1941 0.1924  1 P 1.54
O 0.1484 0.4560 0.9736  1 P 1.53
O 0.1760 0.4756 0.2532  1 P 1.54

---

[2]
CaZn2Hg: optimized geometry, PBEsol.

Calculated values
E_form   -1.03 eV/f.u.

Cell: 4.4088 4.4088 15.1522 Å, 90.00 90.00 120.00°
Last column: nearest neighbours and their distance in Å.
Space group R3m (No. 160, hexagonal axes)
Symmetry-distinct sites (fractional):
Ca 0.0000 0.0000 0.0000  4 Hg 3.14-3.22, 7 Zn 3.16-3.23
Zn 0.0000 0.0000 0.2083  3 Zn 2.55
Zn 0.0000 0.0000 0.5350  3 Zn 2.55, 3 Hg 2.82
Hg 0.0000 0.0000 0.7878  6 Zn 2.82-2.87, 3 Ca 3.14

---

[3]
KCaHg2: optimized geometry, PBEsol.

Calculated values
ΔE to the lowest computed polymorph   0.00 eV/f.u.
E_form   -1.41 eV/f.u.

Cell: 3.8703 3.8703 8.0288 Å, 90.00 90.00 90.00°
Last column: nearest neighbours and their distance in Å.
Space group P4/mmm (No. 123)
Symmetry-distinct sites (fractional):
K 0.0000 0.0000 0.0000  8 Hg 3.64, 4 K 3.87, 2 Ca 4.01
Ca 0.0000 0.0000 0.5000  8 Hg 3.18
Hg 0.5000 0.5000 0.2995  4 Ca 3.18, 1 Hg 3.22

---

[4]
Zr2TePb: optimized geometry, PBEsol.

Calculated values
ΔE to the lowest computed polymorph   0.00 eV/f.u.
Uncorrected formation energy   -41.1 kJ/mol of atoms

Cell: 5.1178 5.1178 3.4200 Å, 90.00 90.00 90.00°
Last column: nearest neighbours and their distance in Å.
Space group P4/mmm (No. 123)
Symmetry-distinct sites (fractional):
Zr 0.0000 0.5000 0.0000  4 Pb 3.08, 4 Te 3.08, 2 Zr 3.42
Te 0.0000 0.0000 0.5000  8 Zr 3.08, 2 Te 3.42
Pb 0.5000 0.5000 0.5000  8 Zr 3.08, 2 Pb 3.42

---

[5]
Tl2S: optimized geometry, PBEsol.

Calculated values
Uncorrected formation energy   -29.3 kJ/mol of atoms

Cell: 12.0672 12.0672 17.7414 Å, 90.00 90.00 120.00°
Last column: nearest neighbours and their distance in Å.
Space group R3 (No. 146, hexagonal axes)
Symmetry-distinct sites (fractional):
Tl 0.0740 0.2011 0.0216  3 S 2.81-2.94
Tl 0.0915 0.5322 0.0015  3 S 2.83-2.96
Tl 0.0955 0.5251 0.3333  3 S 2.85-3.03
Tl 0.1988 0.7751 0.8728  3 S 2.83-2.98
Tl 0.2045 0.1244 0.5182  3 S 2.82-2.93
Tl 0.2051 0.1285 0.8540  3 S 2.82-2.95
S 0.0000 0.0000 0.1365  6 Tl 2.83-2.94
S 0.0000 0.0000 0.4060  6 Tl 2.83-2.93
S 0.0000 0.0000 0.7435  6 Tl 2.85-2.92
S 0.9996 0.6763 0.0804  6 Tl 2.81-2.98
S 0.0028 0.3442 0.1261  6 Tl 2.82-3.03

---

[6]
KMg3Si4O12: optimized geometry, PBEsol.

Calculated values
Uncorrected formation energy   -255.5 kJ/mol of atoms

Cell: 5.2712 5.2712 30.0517 Å, 90.00 90.00 120.00°
Last column: nearest neighbours and their distance in Å.
Space group P3_112 (No. 151)
Symmetry-distinct sites (fractional):
K 0.2016 0.1008 0.0000  12 O 3.03-3.15
Mg 0.2105 0.4209 0.1667  6 O 1.97-2.14
Mg 0.2393 0.1197 0.5000  6 O 1.97-2.14
Mg 0.5454 0.0908 0.1667  6 O 2.06-2.09
Si 0.2210 0.4655 0.7422  4 O 1.60-1.65
Si 0.5560 0.1306 0.7422  4 O 1.60-1.65
O 0.2016 0.0908 0.1343  3 Mg 1.97-2.06
O 0.2017 0.5869 0.0538  2 Si 1.65
O 0.2200 0.4686 0.7954  1 Si 1.60
O 0.3928 0.0904 0.2787  2 Si 1.65
O 0.4069 0.1112 0.3871  2 Si 1.65
O 0.5594 0.1294 0.7954  1 Si 1.60

---

[7]
Cs2TiSi6O15: optimized geometry, PBEsol.

Calculated values
ΔE to the lowest computed polymorph   0.12 eV/f.u.
Uncorrected formation energy   -268.3 kJ/mol of atoms

Cell: 13.5405 7.4151 15.1353 Å, 90.00 108.13 90.00°
Last column: nearest neighbours and their distance in Å.
Space group C2/c (No. 15)
Symmetry-distinct sites (fractional):
Cs 0.1168 0.2410 0.4021  7 O 2.98-3.32
Ti 0.2500 0.2500 0.0000  6 O 1.94-1.98
Si 0.0008 0.2859 0.6473  4 O 1.59-1.64
Si 0.1564 0.0094 0.1359  4 O 1.60-1.64
Si 0.1718 0.3973 0.1745  4 O 1.60-1.66
O 0.0000 0.2199 0.7500  2 Si 1.63
O 0.0567 0.1253 0.6059  2 Si 1.63-1.64
O 0.0731 0.4671 0.6588  2 Si 1.63-1.64
O 0.1130 0.3248 0.9212  1 Si 1.59
O 0.1187 0.1960 0.1746  2 Si 1.64-1.66
O 0.1929 0.0435 0.0463  1 Si 1.60
O 0.2314 0.4100 0.0985  1 Si 1.60
O 0.2490 0.4200 0.2810  2 Si 1.63

---

[8]
Zn2TcMo: optimized geometry, PBEsol.

Calculated values
ΔE to the lowest computed polymorph   0.46 eV/f.u.
E_form   0.61 eV/f.u.

Cell: 5.1886 8.5851 2.6036 Å, 90.00 103.79 90.00°
Last column: nearest neighbours and their distance in Å.
Space group C2/m (No. 12)
Symmetry-distinct sites (fractional):
Zn 0.2500 0.2500 0.0000  4 Zn 2.59-2.60, 2 Mo 2.68, 2 Tc 2.68
Tc 0.0000 0.0000 0.5000  2 Mo 2.59, 2 Tc 2.60, 4 Zn 2.68
Mo 0.0000 0.5000 0.5000  2 Tc 2.59, 2 Mo 2.60, 4 Zn 2.68

---

The following energy values (in eV/atom) correspond, in order, to the records above: -7.570, -1.723, -1.451, -6.853, -3.519, -7.262, -7.923, -6.396.